1.
Entry from Alexandria: a relaxed structure of Cs2SiPI6 (PBE).

abc: 8.228 8.228 8.214
angles: 59.94 59.94 90.00
Element x y z (fractional)
P  0.000  0.000  0.000
I  0.750  0.750  0.000
I  0.752  0.752  0.496
I  0.248  0.248  0.504
I  0.250  0.750  0.000
I  0.750  0.250  0.000
I  0.250  0.250  0.000
Si  0.500  0.500  0.000
Cs  0.250  0.750  0.500
Cs  0.750  0.250  0.500

* theoretical density: 4.6 g/cm3
* formation energy without anion corrections: -0.58 eV/atom
* DOS(E_F): 4.4 states/eV per cell
* DFT total energy: -27.6 eV for the cell shown


2.
Entry from Alexandria: a relaxed structure of Cs2SrPI6 (PBE).

abc: 8.866 8.866 8.701
angles: 59.37 59.37 90.00
Each line ends with the local moment (μB).
Element x y z (fractional)
I  0.271  0.271  0.458  0.00
I  0.742  0.742  0.000  0.03
I  0.258  0.742  0.000  0.03
I  0.729  0.729  0.542  0.00
I  0.258  0.258  0.000  0.03
I  0.742  0.258  0.000  0.03
Cs  0.250  0.750  0.500  0.00
Cs  0.750  0.250  0.500  0.00
Sr  0.000  0.000  0.000  0.03
P  0.500  0.500  0.000  0.35

* theoretical density: 4.0 g/cm3
* formation energy without anion corrections: -0.95 eV/atom
* DOS(E_F): 3.5 states/eV per cell
* DFT total energy: -27.6 eV for the cell shown


3.
Entry from Alexandria: a relaxed structure of Cs2TcPI6 (PBE).

abc: 8.219 8.219 8.259
angles: 60.16 60.16 90.00
Each line ends with the local moment (μB).
Element x y z (fractional)
I  0.247  0.753  0.000  0.03
I  0.753  0.247  0.000  0.03
I  0.756  0.756  0.488  0.03
I  0.247  0.247  0.000  0.03
I  0.244  0.244  0.512  0.03
I  0.753  0.753  0.000  0.03
Cs  0.250  0.750  0.500  0.00
Cs  0.750  0.250  0.500  0.00
Tc  0.000  0.000  0.000  2.75
P  0.500  0.500  0.000  0.06

* theoretical density: 4.8 g/cm3
* formation energy without anion corrections: -0.43 eV/atom
* DOS(E_F): 4.3 states/eV per cell
* DFT total energy: -31.1 eV for the cell shown


4.
Entry from Alexandria: a relaxed structure of Cs2TePI6 (PBE).

abc: 8.496 8.496 8.469
angles: 59.89 59.89 90.00
Element x y z (fractional)
I  0.738  0.738  0.524
I  0.737  0.263  0.000
I  0.737  0.737  0.000
I  0.263  0.737  0.000
I  0.263  0.263  0.000
I  0.262  0.262  0.476
Cs  0.250  0.750  0.500
Cs  0.750  0.250  0.500
P  0.500  0.500  0.000
Te  0.000  0.000  0.000

* theoretical density: 4.6 g/cm3
* formation energy without anion corrections: -0.61 eV/atom
* DOS(E_F): 3.9 states/eV per cell
* DFT total energy: -25.6 eV for the cell shown


5.
Entry from Alexandria: a relaxed structure of Cs2TlPI6 (PBE).

abc: 8.637 8.656 12.277
angles: 90.00 90.04 90.00
Element x y z (fractional)
I  0.041  0.502  0.772
I  0.756  0.801  0.523
I  0.198  0.242  0.018
I  0.541  0.998  0.272
I  0.802  0.758  0.982
I  0.256  0.699  0.023
I  0.244  0.199  0.477
I  0.959  0.498  0.228
I  0.698  0.258  0.518
I  0.459  0.002  0.728
I  0.744  0.301  0.977
I  0.302  0.742  0.482
Tl  0.500  0.000  0.000
Tl  0.000  0.500  0.500
P  0.000  0.500  0.000
P  0.500  0.000  0.500
Cs  0.491  0.466  0.250
Cs  0.009  0.966  0.250
Cs  0.509  0.534  0.750
Cs  0.991  0.034  0.750

* theoretical density: 4.6 g/cm3
* formation energy without anion corrections: -0.75 eV/atom
* DFT total energy: -52.6 eV for the cell shown


6.
Entry from Alexandria: a relaxed structure of Cs2TlPI6 (PBE).

abc: 8.652 8.652 8.649
angles: 59.99 59.99 90.00
Element x y z (fractional)
I  0.729  0.729  0.000
I  0.271  0.271  0.000
I  0.271  0.729  0.000
I  0.729  0.271  0.000
I  0.730  0.730  0.541
I  0.270  0.270  0.459
Tl  0.000  0.000  0.000
Cs  0.250  0.750  0.500
Cs  0.750  0.250  0.500
P  0.500  0.500  0.000

* theoretical density: 4.6 g/cm3
* formation energy without anion corrections: -0.75 eV/atom
* DOS(E_F): 0.0 states/eV per cell
* DFT total energy: -26.3 eV for the cell shown


7.
Entry from Alexandria: a relaxed structure of CsPWI2 (PBE).

abc: 5.570 5.570 8.416
angles: 90.00 90.00 90.00
Each line ends with the local moment (μB).
Element x y z (fractional)
W  0.000  0.000  0.000  2.93
I  0.000  0.500  0.000  0.06
I  0.500  0.000  0.000  0.06
Cs  0.000  0.000  0.500  0.03
P  0.500  0.500  0.500  0.88

* theoretical density: 3.8 g/cm3
* formation energy without anion corrections: 1.00 eV/atom
* DOS(E_F): 4.5 states/eV per cell
* DFT total energy: -17.3 eV for the cell shown


8.
Entry from Alexandria: a relaxed structure of Cs2YPI6 (PBE).

abc: 9.209 9.209 8.715
angles: 58.11 58.11 90.00
Each line ends with the local moment (μB).
Element x y z (fractional)
I  0.769  0.231  0.000  0.04
I  0.231  0.769  0.000  0.04
I  0.734  0.734  0.532  0.02
I  0.231  0.231  0.000  0.04
I  0.769  0.769  0.000  0.04
I  0.266  0.266  0.468  0.02
Cs  0.750  0.250  0.500  0.00
Cs  0.250  0.750  0.500  0.00
Y  0.000  0.000  0.000  0.05
P  0.500  0.500  0.000  0.73

* theoretical density: 3.9 g/cm3
* formation energy without anion corrections: -0.95 eV/atom
* DOS(E_F): 0.0 states/eV per cell
* DFT total energy: -32.4 eV for the cell shown